{"formula": "Be2FePb", "functional": "GGA-PBE", "state": "relaxed", "total_energy_ev_per_atom": -4.399, "spacegroup": "Imm2, No. 44", "cell": [[-1.6556, 1.7811, 4.9443], [1.6556, -1.7811, 4.9443], [1.6556, 1.7811, -4.9443]], "species": ["Be", "Be", "Fe", "Pb"], "frac_coords": [[0.0000, 0.0000, 0.0000], [0.6362, 0.1362, 0.5000], [0.1407, 0.6407, 0.5000], [0.3816, 0.3816, 0.0000]]}